The following is a DFT calculation (PBE) of a geometry-optimized ZrSiOs2N structure.

Results
The symmetry is P4/mmm (123). The raw formation energy comes out at 3127 meV per atom.

a = 4.9143 Å, b = 4.9143 Å, c = 5.2224 Å
α = 90.00°, β = 90.00°, γ = 90.00°
Fractional coordinates of all 5 atoms:
Zr  0.0000  0.0000  0.0000
Si  0.0000  0.0000  0.5000
Os  0.0000  0.5000  0.0000
Os  0.5000  0.0000  0.0000
N  0.5000  0.5000  0.5000

The following is a DFT calculation (PBE) of a geometry-optimized B5C7 structure.

Results
The symmetry is P3m1 (156). The energy relative to the elements comes out at 0.336 eV per atom. As for the excess energy over the best structure of this formula in the dataset: 0.0776 eV/atom.

a = 2.5519 Å, b = 2.5519 Å, c = 13.7599 Å
α = 90.00°, β = 90.00°, γ = 120.00°
Fractional coordinates of all 12 atoms:
B  0.0000  0.0000  0.0000
B  0.0000  0.0000  0.4193
B  0.3333  0.6667  0.0743
B  0.3333  0.6667  0.5798
B  0.6667  0.3333  0.3429
C  0.0000  0.0000  0.5306
C  0.0000  0.0000  0.8846
C  0.3333  0.6667  0.1897
C  0.3333  0.6667  0.6984
C  0.6667  0.3333  0.2276
C  0.6667  0.3333  0.7334
C  0.6667  0.3333  0.8483

The following is a DFT calculation (PBE) of a geometry-optimized Ca3HAu structure.

Results
The symmetry is Cmcm (63). As for the excess energy over the best structure of this formula in the dataset: 0.0000 eV/atom.

a = 8.3708 Å, b = 8.3708 Å, c = 7.9947 Å
α = 90.00°, β = 90.00°, γ = 151.38°
Fractional coordinates of all 10 atoms:
Ca  0.0021  0.9979  0.7500
Ca  0.3442  0.6558  0.0152
Ca  0.3442  0.6558  0.4848
Ca  0.6558  0.3442  0.5152
Ca  0.6558  0.3442  0.9848
Ca  0.9979  0.0021  0.2500
H  0.4267  0.5733  0.2500
H  0.5733  0.4267  0.7500
Au  0.1889  0.8111  0.2500
Au  0.8111  0.1889  0.7500

The following is a DFT calculation (PBE) of a geometry-optimized Sm2Sb2Pd15 structure.

Results
The symmetry is R-3m (166). The raw formation energy comes out at -388 meV per atom.

a = 7.0727 Å, b = 7.0727 Å, c = 7.0727 Å
α = 81.90°, β = 81.90°, γ = 81.90°
Fractional coordinates of all 19 atoms:
Sm  0.1455  0.1455  0.1455
Sm  0.8545  0.8545  0.8545
Sb  0.3958  0.3958  0.3958
Sb  0.6042  0.6042  0.6042
Pd  0.0000  0.5000  0.5000
Pd  0.1628  0.1628  0.6697
Pd  0.1628  0.6697  0.1628
Pd  0.1678  0.5000  0.8322
Pd  0.1678  0.8322  0.5000
Pd  0.3303  0.8372  0.8372
Pd  0.5000  0.0000  0.5000
Pd  0.5000  0.1678  0.8322
Pd  0.5000  0.5000  0.0000
Pd  0.5000  0.8322  0.1678
Pd  0.6697  0.1628  0.1628
Pd  0.8322  0.1678  0.5000
Pd  0.8322  0.5000  0.1678
Pd  0.8372  0.3303  0.8372
Pd  0.8372  0.8372  0.3303

The following is a DFT calculation (PBE) of a geometry-optimized CaNbFePd2 structure.

Results
The symmetry is P4/mmm (123). The energy relative to the elements comes out at 0.268 eV per atom.

a = 4.8551 Å, b = 4.8551 Å, c = 4.3957 Å
α = 90.00°, β = 90.00°, γ = 90.00°
Fractional coordinates of all 5 atoms:
Ca  0.0000  0.0000  0.0000
Nb  0.5000  0.5000  0.0000
Fe  0.5000  0.5000  0.5000
Pd  0.0000  0.5000  0.5000
Pd  0.5000  0.0000  0.5000

The following is a DFT calculation (PBE) of a geometry-optimized K2CdIn structure.

Results
The symmetry is I4/mmm (139). The energy relative to the elements comes out at 0.050 eV per atom.

a = 6.6661 Å, b = 6.6661 Å, c = 6.6661 Å
α = 134.43°, β = 134.43°, γ = 66.41°
Fractional coordinates of all 4 atoms:
K  0.2500  0.7500  0.5000
K  0.7500  0.2500  0.5000
Cd  0.0000  0.0000  0.0000
In  0.5000  0.5000  0.0000

The following is a DFT calculation (PBE) of a geometry-optimized TiAlCo3 structure.

Results
The symmetry is Pm-3m (221). The energy relative to the elements comes out at 0.654 eV per atom. As for the excess energy over the best structure of this formula in the dataset: 0.0000 eV/atom.

a = 4.1450 Å, b = 4.1450 Å, c = 4.1450 Å
α = 90.00°, β = 90.00°, γ = 90.00°
Fractional coordinates of all 5 atoms:
Ti  0.0000  0.0000  0.0000
Al  0.5000  0.5000  0.5000
Co  0.0000  0.5000  0.5000
Co  0.5000  0.0000  0.5000
Co  0.5000  0.5000  0.0000

The following is a DFT calculation (PBE) of a geometry-optimized Rb3LiCr2Br9 structure.

Results
The symmetry is P-3m1 (164). The raw formation energy comes out at -1220 meV per atom.

a = 7.5007 Å, b = 7.5007 Å, c = 9.2246 Å
α = 90.00°, β = 90.00°, γ = 120.00°
Fractional coordinates of all 15 atoms:
Rb  0.0000  0.0000  0.0000
Rb  0.3333  0.6667  0.6602
Rb  0.6667  0.3333  0.3398
Li  0.0000  0.0000  0.5000
Cr  0.3333  0.6667  0.1697
Cr  0.6667  0.3333  0.8303
Br  0.0000  0.5000  0.0000
Br  0.1712  0.3425  0.3234
Br  0.1712  0.8288  0.3234
Br  0.3425  0.1712  0.6766
Br  0.5000  0.0000  0.0000
Br  0.5000  0.5000  0.0000
Br  0.6575  0.8288  0.3234
Br  0.8288  0.1712  0.6766
Br  0.8288  0.6575  0.6766

| no. | M_tot (μB per atom) | DFT total energy (eV/f.u.) | DOS(E_F) (states/eV/atom) |
| --- | --- | --- | --- |
| 1 | 0.990 | -29.12 | 0.926 |
| 2 | 0.000 | -93.93 | 0.241 |
| 3 | 0.000 | -15.13 | 0.264 |
| 4 | 0.000 | -102.94 | 1.106 |
| 5 | 0.087 | -29.58 | 0.732 |
| 6 | 0.080 | -5.65 | 0.705 |
| 7 | 0.000 | -29.69 | 0.152 |
| 8 | 0.467 | -57.42 | 0.331 |